GaNiIr2Ru: optimized geometry, PBE.

Properties
Formation enthalpy at 0 K ... 1.44 eV per atom
Total magnetization ... 0.0 μB/cell
V ... 19.650 Å³ per atom
N(E_F) ... 1.328 states/eV/atom
E_tot ... -0.210 Ha/atom

CIF file:
```
data_GaNiIr2Ru
_cell_length_a 4.679
_cell_length_b 4.679
_cell_length_c 4.488
_cell_angle_alpha 90.00
_cell_angle_beta 90.00
_cell_angle_gamma 90.00
_space_group_name_H-M_alt 'P 1'
_space_group_IT_number 1
_space_group_name_Hall 'P 1'
loop_
_atom_site_label
_atom_site_fract_x
_atom_site_fract_y
_atom_site_fract_z
_atom_site_occupancy
Ga1 0.000 0.000 0.000 1
Ni1 0.500 0.500 0.000 1
Ir1 0.000 0.500 0.500 1
Ir2 0.500 0.000 0.500 1
Ru1 0.500 0.500 0.500 1
```

=====

ScGaNiIr: optimized geometry, PBE.

Properties
Formation enthalpy at 0 K ... -0.67 eV per atom
Total magnetization ... 0.0 μB/cell
V ... 14.818 Å³ per atom
N(E_F) ... 0.419 states/eV/atom
E_tot ... -0.245 Ha/atom

CIF file:
```
data_ScGaNiIr
_cell_length_a 4.512
_cell_length_b 4.512
_cell_length_c 4.512
_cell_angle_alpha 125.06
_cell_angle_beta 125.06
_cell_angle_gamma 81.44
_space_group_name_H-M_alt 'P 1'
_space_group_IT_number 1
_space_group_name_Hall 'P 1'
loop_
_atom_site_label
_atom_site_fract_x
_atom_site_fract_y
_atom_site_fract_z
_atom_site_occupancy
Sc1 0.000 0.000 0.000 1
Ga1 0.500 0.500 0.000 1
Ni1 0.750 0.250 0.500 1
Ir1 0.250 0.750 0.500 1
```

=====

ScGaNiIr: optimized geometry, PBE.

Properties
Formation enthalpy at 0 K ... -0.66 eV per atom
Total magnetization ... 0.0 μB/cell
V ... 14.848 Å³ per atom
N(E_F) ... 0.798 states/eV/atom
E_tot ... -0.245 Ha/atom

CIF file:
```
data_ScGaNiIr
_cell_length_a 4.379
_cell_length_b 4.379
_cell_length_c 4.379
_cell_angle_alpha 60.00
_cell_angle_beta 60.00
_cell_angle_gamma 60.00
_space_group_name_H-M_alt 'P 1'
_space_group_IT_number 1
_space_group_name_Hall 'P 1'
loop_
_atom_site_label
_atom_site_fract_x
_atom_site_fract_y
_atom_site_fract_z
_atom_site_occupancy
Sc1 0.000 0.000 0.000 1
Ga1 0.500 0.500 0.500 1
Ni1 0.750 0.750 0.750 1
Ir1 0.250 0.250 0.250 1
```

=====

ScGaNi2Ir: optimized geometry, PBE.

Properties
Formation enthalpy at 0 K ... 0.41 eV per atom
Total magnetization ... 1.2 μB/cell
V ... 19.499 Å³ per atom
N(E_F) ... 1.361 states/eV/atom
E_tot ... -0.204 Ha/atom

CIF file:
```
data_ScGaNi2Ir
_cell_length_a 4.610
_cell_length_b 4.610
_cell_length_c 4.587
_cell_angle_alpha 90.00
_cell_angle_beta 90.00
_cell_angle_gamma 90.00
_space_group_name_H-M_alt 'P 1'
_space_group_IT_number 1
_space_group_name_Hall 'P 1'
loop_
_atom_site_label
_atom_site_fract_x
_atom_site_fract_y
_atom_site_fract_z
_atom_site_occupancy
Sc1 0.000 0.000 0.000 1
Ga1 0.500 0.500 0.000 1
Ni1 0.000 0.500 0.500 1
Ni2 0.500 0.000 0.500 1
Ir1 0.500 0.500 0.500 1
```

=====

GaSi2Ni5Ir2: optimized geometry, PBE.

Properties
Total magnetization ... 0.0 μB/cell
V ... 12.253 Å³ per atom
N(E_F) ... 0.893 states/eV/atom
E_tot ... -0.237 Ha/atom
Formation energy without anion corrections ... -0.390 eV/atom

CIF file:
```
data_GaSi2Ni5Ir2
_cell_length_a 8.213
_cell_length_b 8.213
_cell_length_c 3.633
_cell_angle_alpha 90.00
_cell_angle_beta 90.00
_cell_angle_gamma 90.00
_space_group_name_H-M_alt 'P 1'
_space_group_IT_number 1
_space_group_name_Hall 'P 1'
loop_
_atom_site_label
_atom_site_fract_x
_atom_site_fract_y
_atom_site_fract_z
_atom_site_occupancy
Ga1 0.000 0.000 0.000 1
Ga2 0.500 0.500 0.000 1
Si1 0.126 0.374 0.000 1
Si2 0.374 0.874 0.000 1
Si3 0.626 0.126 0.000 1
Si4 0.874 0.626 0.000 1
Ni1 0.000 0.500 0.500 1
Ni2 0.071 0.203 0.500 1
Ni3 0.203 0.929 0.500 1
Ni4 0.297 0.429 0.500 1
Ni5 0.429 0.703 0.500 1
Ni6 0.500 0.000 0.500 1
Ni7 0.571 0.297 0.500 1
Ni8 0.703 0.571 0.500 1
Ni9 0.797 0.071 0.500 1
Ni10 0.929 0.797 0.500 1
Ir1 0.169 0.669 0.000 1
Ir2 0.331 0.169 0.000 1
Ir3 0.669 0.831 0.000 1
Ir4 0.831 0.331 0.000 1
```

=====

Sm2GaNi5Ir2: optimized geometry, PBE.

Properties
Formation enthalpy at 0 K ... -0.22 eV per atom
Total magnetization ... 0.0 μB/cell
V ... 16.117 Å³ per atom
N(E_F) ... 0.898 states/eV/atom
E_tot ... -0.225 Ha/atom

CIF file:
```
data_Sm2GaNi5Ir2
_cell_length_a 9.374
_cell_length_b 9.374
_cell_length_c 3.668
_cell_angle_alpha 90.00
_cell_angle_beta 90.00
_cell_angle_gamma 90.00
_space_group_name_H-M_alt 'P 1'
_space_group_IT_number 1
_space_group_name_Hall 'P 1'
loop_
_atom_site_label
_atom_site_fract_x
_atom_site_fract_y
_atom_site_fract_z
_atom_site_occupancy
Sm1 0.170 0.330 0.000 1
Sm2 0.330 0.830 0.000 1
Sm3 0.670 0.170 0.000 1
Sm4 0.830 0.670 0.000 1
Ga1 0.000 0.000 0.000 1
Ga2 0.500 0.500 0.000 1
Ni1 0.000 0.500 0.500 1
Ni2 0.059 0.811 0.500 1
Ni3 0.189 0.059 0.500 1
Ni4 0.311 0.559 0.500 1
Ni5 0.441 0.311 0.500 1
Ni6 0.500 0.000 0.500 1
Ni7 0.559 0.689 0.500 1
Ni8 0.689 0.441 0.500 1
Ni9 0.811 0.941 0.500 1
Ni10 0.941 0.189 0.500 1
Ir1 0.130 0.630 0.000 1
Ir2 0.370 0.130 0.000 1
Ir3 0.630 0.870 0.000 1
Ir4 0.870 0.370 0.000 1
```

=====

Sm2Ga3Ni12Ir: optimized geometry, PBE.

Properties
Formation enthalpy at 0 K ... 0.00 eV per atom
Total magnetization ... 0.0 μB/cell
V ... 15.216 Å³ per atom
N(E_F) ... 1.081 states/eV/atom
E_tot ... -0.197 Ha/atom

CIF file:
```
data_Sm2Ga3Ni12Ir
_cell_length_a 9.366
_cell_length_b 9.366
_cell_length_c 9.366
_cell_angle_alpha 37.56
_cell_angle_beta 37.56
_cell_angle_gamma 37.56
_space_group_name_H-M_alt 'P 1'
_space_group_IT_number 1
_space_group_name_Hall 'P 1'
loop_
_atom_site_label
_atom_site_fract_x
_atom_site_fract_y
_atom_site_fract_z
_atom_site_occupancy
Sm1 0.150 0.150 0.150 1
Sm2 0.850 0.850 0.850 1
Ga1 0.000 0.500 0.500 1
Ga2 0.500 0.000 0.500 1
Ga3 0.500 0.500 0.000 1
Ni1 0.083 0.083 0.690 1
Ni2 0.083 0.690 0.083 1
Ni3 0.139 0.573 0.573 1
Ni4 0.310 0.917 0.917 1
Ni5 0.427 0.427 0.861 1
Ni6 0.427 0.861 0.427 1
Ni7 0.573 0.139 0.573 1
Ni8 0.573 0.573 0.139 1
Ni9 0.690 0.083 0.083 1
Ni10 0.861 0.427 0.427 1
Ni11 0.917 0.310 0.917 1
Ni12 0.917 0.917 0.310 1
Ir1 0.500 0.500 0.500 1
```

=====

SmGa4NiIr2: optimized geometry, PBE.

Properties
Formation enthalpy at 0 K ... -0.54 eV per atom
Total magnetization ... 0.0 μB/cell
V ... 16.763 Å³ per atom
N(E_F) ... 0.564 states/eV/atom
E_tot ... -0.205 Ha/atom

CIF file:
```
data_SmGa4NiIr2
_cell_length_a 8.935
_cell_length_b 8.935
_cell_length_c 8.935
_cell_angle_alpha 27.49
_cell_angle_beta 27.49
_cell_angle_gamma 27.49
_space_group_name_H-M_alt 'P 1'
_space_group_IT_number 1
_space_group_name_Hall 'P 1'
loop_
_atom_site_label
_atom_site_fract_x
_atom_site_fract_y
_atom_site_fract_z
_atom_site_occupancy
Sm1 0.000 0.000 0.000 1
Ga1 0.132 0.132 0.132 1
Ga2 0.402 0.402 0.402 1
Ga3 0.598 0.598 0.598 1
Ga4 0.868 0.868 0.868 1
Ni1 0.500 0.500 0.500 1
Ir1 0.233 0.233 0.233 1
Ir2 0.767 0.767 0.767 1
```